Below is an optimized crystal structure of BaSrHF2, with properties calculated at the PBE-GGA level. Values from VASP.

**Symmetry**: P4/mmm, No. 123
**Calculated density**: 3.92 g cm⁻³
**Size of the total moment**: 0.4 μB per formula unit
**E**: -4.32 eV per atom

Geometry as Quantum ESPRESSO input:
```
&SYSTEM
  ibrav = 0, nat = 5, ntyp = 4
/
ATOMIC_SPECIES
Ba 137.33 Ba.upf
Sr 87.62 Sr.upf
H 1.01 H.upf
F 19.00 F.upf
CELL_PARAMETERS angstrom
4.7635 0.0000 0.0000
0.0000 4.7635 0.0000
0.0000 0.0000 4.9235
ATOMIC_POSITIONS crystal
Ba 0.0000 0.0000 0.0000
Sr 0.5000 0.5000 0.5000
H 0.5000 0.5000 0.0000
F 0.0000 0.5000 0.5000
F 0.5000 0.0000 0.5000
```

Below is an optimized crystal structure of YTm3In2, with properties calculated at the PBE-GGA level. Values from VASP.

**Symmetry**: Pmc2_1, No. 26
**Formation energy from the elements**: -2.1 eV/f.u.
**Calculated density**: 8.23 g cm⁻³
**Size of the total moment**: 0.0 μB per formula unit

Geometry as Quantum ESPRESSO input:
```
&SYSTEM
  ibrav = 0, nat = 12, ntyp = 3
/
ATOMIC_SPECIES
Y 88.91 Y.upf
Tm 168.93 Tm.upf
In 114.82 In.upf
CELL_PARAMETERS angstrom
5.1042 0.0000 0.0000
0.0000 9.7314 0.0000
0.0000 0.0000 6.7037
ATOMIC_POSITIONS crystal
Y 0.0000 0.0392 0.0000
Y 0.0000 0.9608 0.5000
Tm 0.0000 0.3169 0.6361
Tm 0.0000 0.6831 0.1361
Tm 0.5000 0.1878 0.2814
Tm 0.5000 0.4603 0.9179
Tm 0.5000 0.5397 0.4179
Tm 0.5000 0.8122 0.7814
In 0.0000 0.3620 0.1669
In 0.0000 0.6380 0.6669
In 0.5000 0.1383 0.7488
In 0.5000 0.8617 0.2488
```

Below is an optimized crystal structure of Fe2MoOs2, with properties calculated at the PBE-GGA level. Values from VASP.

**Symmetry**: P4/mbm, No. 127
**Formation energy from the elements**: 0.8 eV/f.u.
**Calculated density**: 14.72 g cm⁻³
**Size of the total moment**: 0.0 μB per formula unit

Geometry as Quantum ESPRESSO input:
```
&SYSTEM
  ibrav = 0, nat = 10, ntyp = 3
/
ATOMIC_SPECIES
Fe 55.84 Fe.upf
Mo 95.94 Mo.upf
Os 190.23 Os.upf
CELL_PARAMETERS angstrom
7.0092 0.0000 0.0000
0.0000 7.0092 0.0000
0.0000 0.0000 2.7003
ATOMIC_POSITIONS crystal
Fe 0.1201 0.3799 0.0000
Fe 0.3799 0.8799 0.0000
Fe 0.6201 0.1201 0.0000
Fe 0.8799 0.6201 0.0000
Mo 0.0000 0.0000 0.0000
Mo 0.5000 0.5000 0.0000
Os 0.1746 0.6746 0.5000
Os 0.3254 0.1746 0.5000
Os 0.6746 0.8254 0.5000
Os 0.8254 0.3254 0.5000
```

Below is an optimized crystal structure of ScAlN2, with properties calculated at the PBE-GGA level. Values from VASP.

**Symmetry**: R-3m, No. 166
**Calculated density**: 2.94 g cm⁻³
**Size of the total moment**: 0.0 μB per formula unit
**E**: -7.54 eV per atom

Geometry as Quantum ESPRESSO input:
```
&SYSTEM
  ibrav = 0, nat = 12, ntyp = 3
/
ATOMIC_SPECIES
Sc 44.96 Sc.upf
Al 26.98 Al.upf
N 14.01 N.upf
CELL_PARAMETERS angstrom
3.3896 0.0000 0.0000
-1.6948 2.9355 0.0000
0.0000 0.0000 17.0053
ATOMIC_POSITIONS crystal
Sc 0.0000 0.0000 0.0000
Sc 0.3333 0.6667 0.6667
Sc 0.6667 0.3333 0.3333
Al 0.0000 0.0000 0.5000
Al 0.3333 0.6667 0.1667
Al 0.6667 0.3333 0.8333
N 0.0000 0.0000 0.3980
N 0.0000 0.0000 0.6020
N 0.3333 0.6667 0.0646
N 0.3333 0.6667 0.2687
N 0.6667 0.3333 0.7313
N 0.6667 0.3333 0.9354
```

Below is an optimized crystal structure of VRu3I, with properties calculated at the PBE-GGA level. Values from VASP.

**Symmetry**: Pm-3m, No. 221
**Calculated density**: 7.37 g cm⁻³
**Size of the total moment**: 0.8 μB per formula unit
**E**: -5.81 eV per atom

Geometry as Quantum ESPRESSO input:
```
&SYSTEM
  ibrav = 0, nat = 5, ntyp = 3
/
ATOMIC_SPECIES
V 50.94 V.upf
Ru 101.07 Ru.upf
I 126.90 I.upf
CELL_PARAMETERS angstrom
4.7689 0.0000 0.0000
0.0000 4.7689 0.0000
0.0000 0.0000 4.7689
ATOMIC_POSITIONS crystal
V 0.0000 0.0000 0.0000
Ru 0.0000 0.5000 0.5000
Ru 0.5000 0.0000 0.5000
Ru 0.5000 0.5000 0.0000
I 0.5000 0.5000 0.5000
```

Below is an optimized crystal structure of Sr2Ac4Sm, with properties calculated at the PBE-GGA level. Values from VASP.

**Symmetry**: Cmmm, No. 65
**Formation energy from the elements**: 0.4 eV/f.u.
**Calculated density**: 6.37 g cm⁻³
**Size of the total moment**: 0.0 μB per formula unit

Geometry as Quantum ESPRESSO input:
```
&SYSTEM
  ibrav = 0, nat = 14, ntyp = 3
/
ATOMIC_SPECIES
Sr 87.62 Sr.upf
Ac 227.00 Ac.upf
Sm 150.36 Sm.upf
CELL_PARAMETERS angstrom
4.0005 0.0000 0.0000
0.0000 40.6251 0.0000
0.0000 0.0000 3.9603
ATOMIC_POSITIONS crystal
Sr 0.0000 0.2056 0.0000
Sr 0.0000 0.7944 0.0000
Sr 0.5000 0.2944 0.0000
Sr 0.5000 0.7056 0.0000
Ac 0.0000 0.0627 0.0000
Ac 0.0000 0.3699 0.5000
Ac 0.0000 0.6301 0.5000
Ac 0.0000 0.9373 0.0000
Ac 0.5000 0.1301 0.5000
Ac 0.5000 0.4373 0.0000
Ac 0.5000 0.5627 0.0000
Ac 0.5000 0.8699 0.5000
Sm 0.0000 0.5000 0.5000
Sm 0.5000 0.0000 0.5000
```